Record 1
# HoSi2TcNi PBE-GGA optimized geometry
# E_tot   -7.029 eV/atom
# ρ   7.831 g cm⁻³
# Size of the total moment   0.00 μB/cell
data_HoSi2TcNi
_chemical_formula_sum 'Ho2 Si4 Tc2 Ni2'
_cell_length_a 4.0265
_cell_length_b 4.0265
_cell_length_c 9.8822
_cell_angle_alpha 90.00
_cell_angle_beta 90.00
_cell_angle_gamma 90.00
_symmetry_space_group_name_H-M 'I -4 m 2'
_symmetry_Int_Tables_number 119
_symmetry_space_group_name_Hall 'I -4 -2'
loop_
_atom_site_label
_atom_site_fract_x
_atom_site_fract_y
_atom_site_fract_z
Ho1 0.0000 0.0000 0.0000
Si1 0.0000 0.0000 0.3756
Tc1 0.0000 0.5000 0.2500
Ni1 0.0000 0.5000 0.7500



Record 2
# ScFeHgGe PBE-GGA optimized geometry
# E_tot   -4.959 eV/atom
# ρ   8.844 g cm⁻³
# Energy above the most stable polymorph in this dataset   0 meV/atom
# Size of the total moment   9.37 μB/cell
data_ScFeHgGe
_chemical_formula_sum 'Sc4 Fe4 Hg4 Ge4'
_cell_length_a 6.5493
_cell_length_b 6.5493
_cell_length_c 6.5493
_cell_angle_alpha 90.00
_cell_angle_beta 90.00
_cell_angle_gamma 90.00
_symmetry_space_group_name_H-M 'F -4 3 m'
_symmetry_Int_Tables_number 216
_symmetry_space_group_name_Hall 'F -4 2 3'
loop_
_atom_site_label
_atom_site_fract_x
_atom_site_fract_y
_atom_site_fract_z
Sc1 0.0000 0.0000 0.0000
Fe1 0.0000 0.0000 0.5000
Hg1 0.2500 0.2500 0.7500
Ge1 0.2500 0.2500 0.2500



- What is the formula in the second record?
  ScFeHgGe



- Which value of size of the total moment does entry 2 give?
  9.37 μB/cell